Record 1
Computed, not measured: a relaxed structure of InAsP at the PBE level of DFT.

Calculated values
Symmetry   No. 216
ΔE_f   1.237 eV per formula unit
Energy above the lowest structure with this stoichiometry   0.96 eV per formula unit

abc: 6.496 6.496 6.496
angles: 90.00 90.00 90.00
Element x y z (fractional)
In 0.000 0.000 0.000
In 0.000 0.500 0.500
In 0.500 0.000 0.500
In 0.500 0.500 0.000
As 0.000 0.000 0.500
As 0.000 0.500 0.000
As 0.500 0.000 0.000
As 0.500 0.500 0.500
P 0.250 0.250 0.250
P 0.250 0.750 0.750
P 0.750 0.250 0.750
P 0.750 0.750 0.250


Record 2
Computed, not measured: a relaxed structure of In12As3P5 at the PBE level of DFT.

Calculated values
Symmetry   No. 230
ΔE_f   1.522 eV per formula unit

abc: 14.220 14.220 14.220
angles: 109.47 109.47 109.47
Element x y z (fractional)
In 0.051 0.222 0.136
In 0.051 0.329 0.915
In 0.085 0.636 0.414
In 0.085 0.949 0.671
In 0.086 0.722 0.671
In 0.086 0.864 0.415
In 0.136 0.051 0.222
In 0.136 0.585 0.914
In 0.171 0.222 0.586
In 0.171 0.449 0.585
In 0.222 0.136 0.051
In 0.222 0.586 0.171
In 0.278 0.329 0.914
In 0.278 0.449 0.364
In 0.329 0.914 0.278
In 0.329 0.915 0.051
In 0.364 0.278 0.449
In 0.364 0.586 0.915
In 0.414 0.085 0.636
In 0.414 0.829 0.778
In 0.415 0.086 0.864
In 0.415 0.829 0.551
In 0.449 0.364 0.278
In 0.449 0.585 0.171
In 0.551 0.415 0.829
In 0.551 0.636 0.722
In 0.585 0.171 0.449
In 0.585 0.914 0.136
In 0.586 0.171 0.222
In 0.586 0.915 0.364
In 0.636 0.414 0.085
In 0.636 0.722 0.551
In 0.671 0.085 0.949
In 0.671 0.086 0.722
In 0.722 0.551 0.636
In 0.722 0.671 0.086
In 0.778 0.414 0.829
In 0.778 0.864 0.949
In 0.829 0.551 0.415
In 0.829 0.778 0.414
In 0.864 0.415 0.086
In 0.864 0.949 0.778
In 0.914 0.136 0.585
In 0.914 0.278 0.329
In 0.915 0.051 0.329
In 0.915 0.364 0.586
In 0.949 0.671 0.085
In 0.949 0.778 0.864
As 0.125 0.250 0.375
As 0.125 0.375 0.750
As 0.250 0.375 0.125
As 0.250 0.875 0.625
As 0.375 0.125 0.250
As 0.375 0.750 0.125
As 0.625 0.250 0.875
As 0.625 0.875 0.750
As 0.750 0.125 0.375
As 0.750 0.625 0.875
As 0.875 0.625 0.250
As 0.875 0.750 0.625
P 0.000 0.000 0.000
P 0.000 0.000 0.500
P 0.000 0.500 0.000
P 0.000 0.500 0.500
P 0.125 0.750 0.875
P 0.125 0.875 0.250
P 0.250 0.125 0.875
P 0.250 0.625 0.375
P 0.375 0.250 0.625
P 0.375 0.625 0.750
P 0.500 0.000 0.000
P 0.500 0.000 0.500
P 0.500 0.500 0.000
P 0.500 0.500 0.500
P 0.625 0.375 0.250
P 0.625 0.750 0.375
P 0.750 0.375 0.625
P 0.750 0.875 0.125
P 0.875 0.125 0.750
P 0.875 0.250 0.125


no.,E_tot (eV per atom),ρ (g/cm3)
1,-3.853,5.349
2,-3.617,5.274